--- a ---
Entry from Alexandria via LeMat-Bulk: a relaxed structure of Sb2RhCI (GGA-PBEsol).

Cell: 4.995 4.995 5.453 Å, 90.00 90.00 90.00°
Last column: magnetic moment on the atom in μB.
Atoms (fractional coordinates):
C 0.500 0.500 0.500  0.83
Sb 0.500 0.000 0.000  -0.03
Sb 0.000 0.500 0.000  -0.03
Rh 0.000 0.000 0.000  0.00
I 0.000 0.000 0.500  0.04

## Properties
Volume: 27.21 A^3/atom
Magnetic moment: 1.72 μB per formula unit
Calculated density: 5.92 g cm⁻³

--- b ---
Entry from Alexandria via LeMat-Bulk: a relaxed structure of Sb2RhCI (GGA-PBEsol).

Cell: 4.651 4.651 4.552 Å, 90.00 90.00 90.00°
Atoms (fractional coordinates):
Sb 0.500 0.000 0.000
Sb 0.000 0.500 0.000
C 0.000 0.000 0.000
I 0.000 0.000 0.500
Rh 0.500 0.500 0.500

## Properties
Volume: 19.69 A^3/atom
Magnetic moment: 0.00 μB per formula unit
Calculated density: 8.18 g cm⁻³

How far above the most stable structure does each one sit? In eV/atom: a 0.415; b 0.000.